# 1
TlGa4Sb: relaxed, PBE-GGA.

Computed properties:
density of states at the Fermi level: 3.3 states/eV per cell
V: 22.95 Å³/atom
electronic total energy: -3.0110 eV/atom
raw formation energy: 0.088 eV/atom

a b c (Å): 5.7961 5.7961 5.7961
angles (deg): 60.00 60.00 60.00
With the nearest neighbours (Å) after each atom.
Fractional coordinates of all 6 atoms:
Sb  0.2500  0.2500  0.2500  12 Ga 3.40, 4 Tl 3.55
Tl  0.0000  0.0000  0.0000  12 Ga 3.40, 4 Sb 3.55
Ga  0.6244  0.6244  0.1269  6 Ga 2.88-2.91
Ga  0.6244  0.1269  0.6244  6 Ga 2.88-2.91
Ga  0.6244  0.6244  0.6244  6 Ga 2.88-2.91
Ga  0.1269  0.6244  0.6244  6 Ga 2.88-2.91


# 2
Tl2GaSb: relaxed, PBE-GGA.

Computed properties:
density of states at the Fermi level: 2.4 states/eV per cell
V: 27.92 Å³/atom
ΔE to the lowest computed polymorph: 47.1 meV per atom
electronic total energy: -2.8559 eV/atom
raw formation energy: 0.115 eV/atom

a b c (Å): 4.0132 4.0132 6.9340
angles (deg): 90.00 90.00 90.00
With the nearest neighbours (Å) after each atom.
Fractional coordinates of all 4 atoms:
Sb  0.5000  0.5000  0.5000  8 Tl 3.34, 2 Ga 3.47
Tl  0.0000  0.0000  0.7529  4 Ga 3.31, 4 Sb 3.34, 2 Tl 3.43-3.51
Tl  0.0000  0.0000  0.2471  4 Ga 3.31, 4 Sb 3.34, 2 Tl 3.43-3.51
Ga  0.5000  0.5000  0.0000  8 Tl 3.31, 2 Sb 3.47


# 3
Tl3GaSb: relaxed, PBE-GGA.

Computed properties:
density of states at the Fermi level: 3.6 states/eV per cell
V: 32.23 Å³/atom
ΔE to the lowest computed polymorph: 0.0 meV per atom
electronic total energy: -2.5647 eV/atom
raw formation energy: 0.285 eV/atom

a b c (Å): 5.4420 5.4420 5.4420
angles (deg): 90.00 90.00 90.00
With the nearest neighbours (Å) after each atom.
Fractional coordinates of all 5 atoms:
Sb  0.5000  0.5000  0.5000  12 Tl 3.85
Tl  0.0000  0.5000  0.0000  2 Ga 2.72
Tl  0.0000  0.0000  0.5000  2 Ga 2.72
Tl  0.5000  0.0000  0.0000  2 Ga 2.72
Ga  0.0000  0.0000  0.0000  6 Tl 2.72


# 4
TlGaSb3: relaxed, PBE-GGA.

Computed properties:
density of states at the Fermi level: 6.3 states/eV per cell
V: 37.88 Å³/atom
ΔE to the lowest computed polymorph: 465.1 meV per atom
electronic total energy: -2.6803 eV/atom
raw formation energy: 0.872 eV/atom

a b c (Å): 5.7429 5.7429 5.7429
angles (deg): 90.00 90.00 90.00
With the nearest neighbours (Å) after each atom.
Fractional coordinates of all 5 atoms:
Sb  0.0000  0.5000  0.0000  2 Tl 2.87
Sb  0.0000  0.0000  0.5000  2 Tl 2.87
Sb  0.5000  0.0000  0.0000  2 Tl 2.87
Tl  0.0000  0.0000  0.0000  6 Sb 2.87
Ga  0.5000  0.5000  0.5000  12 Sb 4.06


# 5
Tl3GaSb: relaxed, PBE-GGA.

Computed properties:
density of states at the Fermi level: 3.9 states/eV per cell
V: 41.10 Å³/atom
ΔE to the lowest computed polymorph: 239.9 meV per atom
electronic total energy: -2.3248 eV/atom
raw formation energy: 0.525 eV/atom

a b c (Å): 5.9011 5.9011 5.9011
angles (deg): 90.00 90.00 90.00
With the nearest neighbours (Å) after each atom.
Fractional coordinates of all 5 atoms:
Sb  0.0000  0.0000  0.0000  6 Tl 2.95
Tl  0.0000  0.5000  0.0000  2 Sb 2.95
Tl  0.0000  0.0000  0.5000  2 Sb 2.95
Tl  0.5000  0.0000  0.0000  2 Sb 2.95
Ga  0.5000  0.5000  0.5000  12 Tl 4.17


# 6
TlGa2Sb2: relaxed, PBE-GGA.

Computed properties:
density of states at the Fermi level: 2.1 states/eV per cell
V: 26.85 Å³/atom
ΔE to the lowest computed polymorph: 38.4 meV per atom
electronic total energy: -3.3123 eV/atom
raw formation energy: 0.021 eV/atom

a b c (Å): 5.2192 5.2192 6.1575
angles (deg): 64.92 64.92 90.00
With the nearest neighbours (Å) after each atom.
Fractional coordinates of all 5 atoms:
Sb  0.7500  0.2500  0.5000  4 Ga 2.87
Sb  0.2500  0.7500  0.5000  4 Ga 2.87
Tl  0.0000  0.0000  0.0000  8 Sb 3.59, 10 Ga 3.67-3.90
Ga  0.3720  0.3720  0.2560  1 Ga 2.52
Ga  0.6280  0.6280  0.7440  1 Ga 2.52


# 7
Tl2GaSb: relaxed, PBE-GGA.

Computed properties:
density of states at the Fermi level: 1.8 states/eV per cell
V: 28.10 Å³/atom
ΔE to the lowest computed polymorph: 0.0 meV per atom
electronic total energy: -2.9030 eV/atom
raw formation energy: 0.067 eV/atom

a b c (Å): 4.8967 4.7915 4.7915
angles (deg): 90.00 90.00 90.00
With the nearest neighbours (Å) after each atom.
Fractional coordinates of all 4 atoms:
Sb  0.5000  0.0000  0.0000  4 Ga 3.39, 8 Tl 3.43
Tl  0.0000  0.0000  0.5000  4 Tl 3.39, 4 Sb 3.43, 4 Ga 3.43
Tl  0.0000  0.5000  0.0000  4 Tl 3.39, 4 Sb 3.43, 4 Ga 3.43
Ga  0.5000  0.5000  0.5000  4 Sb 3.39, 8 Tl 3.43


# 8
Tl2Ga2Sb: relaxed, PBE-GGA.

Computed properties:
density of states at the Fermi level: 6.0 states/eV per cell
V: 27.18 Å³/atom
ΔE to the lowest computed polymorph: 0.0 meV per atom
electronic total energy: -2.9418 eV/atom
raw formation energy: 0.040 eV/atom

a b c (Å): 7.3452 7.3452 5.0379
angles (deg): 90.00 90.00 90.00
With the nearest neighbours (Å) after each atom.
Fractional coordinates of all 10 atoms:
Sb  0.0000  0.0000  0.0000  4 Ga 2.89
Sb  0.5000  0.5000  0.0000  4 Ga 2.89
Tl  0.1780  0.6780  0.5000  6 Ga 3.23-3.39
Tl  0.6780  0.8220  0.5000  6 Ga 3.23-3.39
Tl  0.8220  0.3220  0.5000  6 Ga 3.23-3.39
Tl  0.3220  0.1780  0.5000  6 Ga 3.23-3.39
Ga  0.3727  0.8727  0.0000  1 Ga 2.65, 2 Sb 2.89
Ga  0.8727  0.6273  0.0000  1 Ga 2.65, 2 Sb 2.89
Ga  0.6273  0.1273  0.0000  1 Ga 2.65, 2 Sb 2.89
Ga  0.1273  0.3727  0.0000  1 Ga 2.65, 2 Sb 2.89


# 9
Tl2GaSb: relaxed, PBE-GGA.

Computed properties:
density of states at the Fermi level: 1.6 states/eV per cell
V: 28.34 Å³/atom
ΔE to the lowest computed polymorph: 39.1 meV per atom
electronic total energy: -2.8638 eV/atom
raw formation energy: 0.107 eV/atom

a b c (Å): 5.4322 5.4322 5.4322
angles (deg): 60.00 60.00 60.00
With the nearest neighbours (Å) after each atom.
Fractional coordinates of all 4 atoms:
Sb  0.5000  0.5000  0.5000  8 Tl 3.33
Tl  0.2500  0.2500  0.2500  4 Sb 3.33, 4 Ga 3.33
Tl  0.7500  0.7500  0.7500  4 Sb 3.33, 4 Ga 3.33
Ga  0.0000  0.0000  0.0000  8 Tl 3.33


# 10
Tl2Ga2Sb: relaxed, PBE-GGA.

Computed properties:
density of states at the Fermi level: 3.0 states/eV per cell
V: 27.34 Å³/atom
ΔE to the lowest computed polymorph: 83.7 meV per atom
electronic total energy: -2.8581 eV/atom
raw formation energy: 0.124 eV/atom

a b c (Å): 3.7756 3.7756 9.9550
angles (deg): 79.07 79.07 90.00
With the nearest neighbours (Å) after each atom.
Fractional coordinates of all 5 atoms:
Sb  0.0000  0.0000  0.0000  8 Tl 3.35
Tl  0.3945  0.3945  0.2111  4 Sb 3.35, 4 Ga 3.35
Tl  0.6055  0.6055  0.7889  4 Sb 3.35, 4 Ga 3.35
Ga  0.7500  0.2500  0.5000  4 Ga 2.67
Ga  0.2500  0.7500  0.5000  4 Ga 2.67


# 11
TlGa2Sb2: relaxed, PBE-GGA.

Computed properties:
density of states at the Fermi level: 3.0 states/eV per cell
V: 25.51 Å³/atom
ΔE to the lowest computed polymorph: 81.8 meV per atom
electronic total energy: -3.2689 eV/atom
raw formation energy: 0.064 eV/atom

a b c (Å): 8.2115 8.2115 3.7829
angles (deg): 90.00 90.00 90.00
With the nearest neighbours (Å) after each atom.
Fractional coordinates of all 10 atoms:
Sb  0.1531  0.6531  0.5000  6 Ga 3.02-3.12
Sb  0.6531  0.8469  0.5000  6 Ga 3.02-3.12
Sb  0.8469  0.3469  0.5000  6 Ga 3.02-3.12
Sb  0.3469  0.1531  0.5000  6 Ga 3.02-3.12
Tl  0.0000  0.0000  0.0000  4 Ga 3.20
Tl  0.5000  0.5000  0.0000  4 Ga 3.20
Ga  0.3666  0.8666  0.0000  6 Sb 3.02-3.12, 1 Ga 3.10, 2 Tl 3.20
Ga  0.8666  0.6334  0.0000  6 Sb 3.02-3.12, 1 Ga 3.10, 2 Tl 3.20
Ga  0.6334  0.1334  0.0000  6 Sb 3.02-3.12, 1 Ga 3.10, 2 Tl 3.20
Ga  0.1334  0.3666  0.0000  6 Sb 3.02-3.12, 1 Ga 3.10, 2 Tl 3.20


# 12
Tl2GaSb: relaxed, PBE-GGA.

Computed properties:
density of states at the Fermi level: 1.9 states/eV per cell
V: 28.71 Å³/atom
ΔE to the lowest computed polymorph: 74.0 meV per atom
electronic total energy: -2.8289 eV/atom
raw formation energy: 0.142 eV/atom

a b c (Å): 3.3694 3.3694 11.8409
angles (deg): 81.82 81.82 60.00
With the nearest neighbours (Å) after each atom.
Fractional coordinates of all 4 atoms:
Sb  0.5000  0.5000  0.5000  6 Sb 3.37, 6 Tl 3.45
Tl  0.0853  0.0853  0.7441  1 Ga 2.99
Tl  0.9147  0.9147  0.2559  1 Ga 2.99
Ga  0.0000  0.0000  0.0000  2 Tl 2.99


Question: Among the records above, which one has the lowest electronic total energy?
Answer: number 6